This record from Alexandria via LeMat-Bulk describes a relaxed structure of HgSe. The functional is PBE.

Unit cell a=5.879 b=5.879 c=5.879 alpha=50.49 beta=50.49 gamma=50.49
Fractional positions:
Se  0.079  0.079  0.079
Se  0.921  0.921  0.921
Hg  0.389  0.389  0.389
Hg  0.611  0.611  0.611

Calculated values
- total magnetic moment (μB per cell) = 0.00
- space-group type = No. 166
- raw total energy (eV/atom) = -1.751
- calculated density (Mg/m³) = 8.33